No. 1
Below is an optimized crystal structure of La2PdBr, with properties calculated at the PBE level.

Properties
Energy above the most stable polymorph in this dataset   290.2 meV per atom
E_tot   -39.71 eV/cell
Formation energy (no corrections)   -783 meV/atom

a b c (Å): 6.866 6.866 6.866
angles (deg): 109.97 109.97 108.48
Element x y z (fractional)
La1 0.103 0.125 0.478
La2 0.375 0.897 0.022
La3 0.647 0.625 0.522
La4 0.875 0.353 0.978
Pd1 0.000 0.000 0.000
Pd2 0.750 0.250 0.500
Br1 0.250 0.750 0.500
Br2 0.500 0.500 0.000

No. 2
Below is an optimized crystal structure of K3P2PbS8, with properties calculated at the PBE level.

Properties
E_tot   -59.34 eV/cell
Formation energy (no corrections)   -607 meV/atom

a b c (Å): 6.876 6.876 10.159
angles (deg): 90.00 90.00 120.00
Element x y z (fractional)
K1 0.000 0.000 0.000
K2 0.333 0.667 0.716
K3 0.667 0.333 0.284
P1 0.333 0.667 0.231
P2 0.667 0.333 0.769
Pb1 0.000 0.000 0.500
S1 0.167 0.335 0.288
S2 0.167 0.833 0.288
S3 0.333 0.667 0.033
S4 0.335 0.167 0.712
S5 0.665 0.833 0.288
S6 0.667 0.333 0.967
S7 0.833 0.167 0.712
S8 0.833 0.665 0.712

No. 3
Below is an optimized crystal structure of ErZr2Ru4, with properties calculated at the PBE level.

Properties
E_tot   -58.39 eV/cell

a b c (Å): 5.567 5.567 5.567
angles (deg): 109.27 109.27 109.88
Element x y z (fractional)
Er1 0.000 0.000 0.000
Zr1 0.000 0.500 0.500
Zr2 0.500 0.000 0.500
Ru1 0.000 0.000 0.500
Ru2 0.000 0.500 0.000
Ru3 0.500 0.000 0.000
Ru4 0.500 0.500 0.500

No. 4
Below is an optimized crystal structure of AcZnPPt6, with properties calculated at the PBE level.

Properties
E_tot   -102.22 eV/cell

a b c (Å): 8.056 8.056 8.056
angles (deg): 126.21 114.23 89.93
Element x y z (fractional)
Ac1 0.404 0.154 0.250
Ac2 0.596 0.846 0.750
Zn1 0.000 0.000 0.500
Zn2 0.000 0.500 0.000
P1 0.000 0.500 0.500
P2 0.500 0.500 0.000
Pt1 0.109 0.381 0.241
Pt2 0.109 0.868 0.728
Pt3 0.145 0.895 0.250
Pt4 0.323 0.573 0.750
Pt5 0.360 0.132 0.741
Pt6 0.360 0.619 0.228
Pt7 0.640 0.381 0.772
Pt8 0.640 0.868 0.259
Pt9 0.677 0.427 0.250
Pt10 0.855 0.105 0.750
Pt11 0.891 0.132 0.272
Pt12 0.891 0.619 0.759

No. 5
Below is an optimized crystal structure of CsSrScAu2, with properties calculated at the PBE level.

Properties
E_tot   -11.22 eV/cell

a b c (Å): 5.926 5.926 5.390
angles (deg): 90.00 90.00 90.00
Element x y z (fractional)
Cs1 0.000 0.000 0.000
Sr1 0.500 0.500 0.500
Sc1 0.000 0.000 0.500
Au1 0.000 0.500 0.000
Au2 0.500 0.000 0.000

No. 6
Below is an optimized crystal structure of HgP, with properties calculated at the PBE level.

Properties
Energy above the most stable polymorph in this dataset   8.1 meV per atom
E_tot   -11.27 eV/cell

a b c (Å): 3.308 3.309 10.850
angles (deg): 82.11 81.42 60.02
Element x y z (fractional)
Hg1 0.219 0.200 0.356
Hg2 0.781 0.800 0.644
P1 0.354 0.349 0.942
P2 0.646 0.651 0.058

No. 7
Below is an optimized crystal structure of MgFeRu, with properties calculated at the PBE level.

Properties
Energy above the most stable polymorph in this dataset   85.2 meV per atom
E_tot   -37.82 eV/cell

a b c (Å): 5.839 5.839 3.973
angles (deg): 90.00 90.00 140.33
Element x y z (fractional)
Mg1 0.249 0.751 0.750
Mg2 0.751 0.249 0.250
Fe1 0.063 0.937 0.250
Fe2 0.937 0.063 0.750
Ru1 0.431 0.569 0.250
Ru2 0.569 0.431 0.750

No. 8
Below is an optimized crystal structure of AlNiRh, with properties calculated at the PBE level.

Properties
Energy above the most stable polymorph in this dataset   305.6 meV per atom
E_tot   -17.69 eV/cell

a b c (Å): 3.968 3.968 3.968
angles (deg): 60.00 60.00 60.00
Element x y z (fractional)
Al1 0.000 0.000 0.000
Ni1 0.250 0.250 0.250
Rh1 0.750 0.750 0.750

Number 1: spin magnetization 0.0 μB per formula unit. Number 2: spin magnetization 0.6 μB per formula unit. Number 3: spin magnetization 0.0 μB per formula unit. Number 4: spin magnetization 0.0 μB per formula unit. Number 5: spin magnetization 0.8 μB per formula unit. Number 6: spin magnetization 0.0 μB per formula unit. Number 7: spin magnetization 1.5 μB per formula unit. Number 8: spin magnetization 0.0 μB per formula unit.